DFT (PBE-GGA) results for an optimized crystal structure of PtAu6.

a = 5.0472 Å, b = 5.0472 Å, c = 6.5419 Å
α = 82.45°, β = 82.45°, γ = 48.63°
Positions (direct):
Pt1 0.0000 0.0000 0.0000
Au1 0.4304 0.4304 0.7187
Au2 0.5696 0.5696 0.2813
Au3 0.2847 0.2847 0.1424
Au4 0.8576 0.8576 0.4259
Au5 0.1424 0.1424 0.5741
Au6 0.7153 0.7153 0.8576

Values from the calculation:
ΔE_f   0.4 kcal/mol of atoms
DOS(E_F)   1.4 states/eV/f.u.
Total magnetization   0.000 μB per formula unit
Electronic total energy   -3.654 eV per atom
SG   No. 12
ΔE to the lowest computed polymorph   0 meV per atom